DFT (GGA-PBE) results for SrYZnSe3 after structural relaxation.

Density = 5.2 g cm⁻³
Raw total energy = -4.701 eV/atom
Total magnetization = 0.8 μB per cell

a b c (Å): 7.3361 7.3361 10.6562
angles (deg): 90.00 90.00 147.50
Last column: nearest neighbours and their distance in Å.
Atoms (fractional coordinates):
Sr 0.2576 0.7424 0.7500  6 Se 3.17-3.21
Zn 0.0262 0.9738 0.2500  4 Se 2.51-2.56
Y 0.5000 0.5000 0.0000  6 Se 2.90-2.94
Se 0.1397 0.8603 0.4313  1 Zn 2.51
Y 0.5000 0.5000 0.5000  6 Se 2.90-2.94
Se 0.4180 0.5820 0.2500  2 Zn 2.56
Sr 0.7424 0.2576 0.2500  6 Se 3.17-3.21
Se 0.8603 0.1397 0.9313  1 Zn 2.51
Se 0.1397 0.8603 0.0687  1 Zn 2.51
Se 0.5820 0.4180 0.7500  2 Zn 2.56
Zn 0.9738 0.0262 0.7500  4 Se 2.51-2.56
Se 0.8603 0.1397 0.5687  1 Zn 2.51

=====

DFT (GGA-PBE) results for TaBiO3 after structural relaxation.

Density = 9.4 g cm⁻³
Raw total energy = -8.131 eV/atom
Total magnetization = 0.0 μB per cell

a b c (Å): 5.3708 5.3708 6.9507
angles (deg): 67.27 67.27 60.00
Last column: nearest neighbours and their distance in Å.
Atoms (fractional coordinates):
Ta 0.8436 0.8436 0.4691  6 O 1.94-2.07
O 0.1770 0.9529 0.3222  2 Ta 1.94-2.07
Bi 0.3465 0.3465 0.9605  6 O 2.73-2.77
O 0.0471 0.4521 0.6778  2 Ta 1.94-2.07
Bi 0.6535 0.6535 0.0395  6 O 2.73-2.77
O 0.5479 0.1770 0.3222  2 Ta 1.94-2.07
O 0.9529 0.5479 0.3222  2 Ta 1.94-2.07
Ta 0.1564 0.1564 0.5309  6 O 1.94-2.07
O 0.8230 0.0471 0.6778  2 Ta 1.94-2.07
O 0.4521 0.8230 0.6778  2 Ta 1.94-2.07

=====

DFT (GGA-PBE) results for Dy4Cd3Co2 after structural relaxation.

Density = 9.0 g cm⁻³
Raw total energy = -4.230 eV/atom
Energy relative to the elements = -0.31 eV per atom
Total magnetization = 0.5 μB per cell

a b c (Å): 7.3542 3.6691 7.9965
angles (deg): 90.00 108.93 90.00
Last column: nearest neighbours and their distance in Å.
Atoms (fractional coordinates):
Dy 0.0944 0.5000 0.2242  2 Co 2.67
Dy 0.6031 0.5000 0.3125  4 Co 2.83-2.90
Cd 0.2945 0.0000 0.0025  1 Co 3.03, 1 Cd 3.04, 8 Dy 3.22-3.39
Cd 0.0000 0.0000 0.5000  2 Co 2.96, 4 Dy 3.12
Co 0.3512 0.0000 0.3954  1 Co 2.28
Dy 0.3969 0.5000 0.6875  4 Co 2.83-2.90
Dy 0.9056 0.5000 0.7758  2 Co 2.67
Cd 0.7055 0.0000 0.9975  1 Co 3.03, 1 Cd 3.04, 8 Dy 3.22-3.39
Co 0.6488 0.0000 0.6046  1 Co 2.28

=====

DFT (GGA-PBE) results for SmYAu4 after structural relaxation.

Density = 13.2 g cm⁻³
Raw total energy = -4.877 eV/atom
Energy relative to the elements = -0.84 eV per atom
Total magnetization = 0.0 μB per cell

a b c (Å): 3.7627 3.7627 9.1090
angles (deg): 90.00 90.00 90.00
Last column: nearest neighbours and their distance in Å.
Atoms (fractional coordinates):
Au 0.5000 0.5000 0.8368  5 Au 2.97-3.07, 4 Y 3.05, 1 Sm 3.07
Au 0.0000 0.0000 0.6688  1 Y 3.02, 5 Au 3.07-3.08, 4 Sm 3.07
Y 0.0000 0.0000 0.0000  10 Au 3.02-3.05
Sm 0.5000 0.5000 0.5000  10 Au 3.07
Au 0.5000 0.5000 0.1632  5 Au 2.97-3.07, 4 Y 3.05, 1 Sm 3.07
Au 0.0000 0.0000 0.3312  1 Y 3.02, 5 Au 3.07-3.08, 4 Sm 3.07

=====

DFT (GGA-PBE) results for LiCuTcBi after structural relaxation.

Density = 9.4 g cm⁻³
Raw total energy = -4.491 eV/atom
Total magnetization = 2.1 μB per cell

a b c (Å): 4.5447 4.5447 4.5447
angles (deg): 60.00 60.00 60.00
Last column: nearest neighbours and their distance in Å.
Atoms (fractional coordinates):
Li 0.2500 0.2500 0.2500  4 Bi 2.78, 4 Tc 2.78
Bi 0.0000 0.0000 0.0000  4 Li 2.78, 4 Cu 2.78
Cu 0.7500 0.7500 0.7500  4 Bi 2.78, 4 Tc 2.78
Tc 0.5000 0.5000 0.5000  4 Li 2.78, 4 Cu 2.78

=====

DFT (GGA-PBE) results for KBeCu after structural relaxation.

Density = 2.5 g cm⁻³
Raw total energy = -1.783 eV/atom

a b c (Å): 4.6915 4.6915 4.6915
angles (deg): 60.00 60.00 60.00
Last column: nearest neighbours and their distance in Å.
Atoms (fractional coordinates):
Be 0.0000 0.0000 0.0000  4 K 2.87, 4 Cu 2.87
K 0.7500 0.7500 0.7500  4 Be 2.87
Cu 0.2500 0.2500 0.2500  4 Be 2.87

=====

DFT (GGA-PBE) results for Nb2SnPbS4 after structural relaxation.

Density = 6.1 g cm⁻³
Raw total energy = -6.425 eV/atom
Total magnetization = 0.0 μB per cell

a b c (Å): 3.3680 3.3680 17.7053
angles (deg): 90.00 90.00 120.00
Last column: nearest neighbours and their distance in Å.
Atoms (fractional coordinates):
S 0.0000 0.0000 0.1586  3 Nb 2.49
Sn 0.0000 0.0000 0.0000  2 S 2.81
S 0.0000 0.0000 0.3343  3 Nb 2.49
Pb 0.0000 0.0000 0.5000  2 S 2.93
Nb 0.6667 0.3333 0.7534  6 S 2.49
S 0.0000 0.0000 0.8414  3 Nb 2.49
S 0.0000 0.0000 0.6657  3 Nb 2.49
Nb 0.3333 0.6667 0.2466  6 S 2.49

=====

DFT (GGA-PBE) results for GaCuNiSn after structural relaxation.

Density = 8.1 g cm⁻³
Raw total energy = -3.898 eV/atom
Total magnetization = 0.0 μB per cell

a b c (Å): 4.4910 4.4910 4.4910
angles (deg): 60.00 60.00 60.00
Last column: nearest neighbours and their distance in Å.
Atoms (fractional coordinates):
Ga 0.0000 0.0000 0.0000  4 Sn 2.75, 4 Cu 2.75
Ni 0.5000 0.5000 0.5000  4 Cu 2.75, 4 Sn 2.75
Cu 0.7500 0.7500 0.7500  4 Ni 2.75, 4 Ga 2.75
Sn 0.2500 0.2500 0.2500  4 Ga 2.75, 4 Ni 2.75

=====

DFT (GGA-PBE) results for NaDyIn after structural relaxation.

Density = 5.2 g cm⁻³
Raw total energy = -2.507 eV/atom
Total magnetization = 0.8 μB per cell

a b c (Å): 5.1499 5.1499 5.1499
angles (deg): 60.00 60.00 60.00
Last column: nearest neighbours and their distance in Å.
Atoms (fractional coordinates):
In 0.2500 0.2500 0.2500  4 Dy 3.15
Na 0.7500 0.7500 0.7500  4 Dy 3.15
Dy 0.0000 0.0000 0.0000  4 In 3.15, 4 Na 3.15

=====

DFT (GGA-PBE) results for KNaTe3Os after structural relaxation.

Density = 5.8 g cm⁻³
Raw total energy = -4.180 eV/atom
Total magnetization = 0.0 μB per cell

a b c (Å): 7.2570 7.2570 8.2787
angles (deg): 97.75 97.75 119.89
Last column: nearest neighbours and their distance in Å.
Atoms (fractional coordinates):
Te 0.6569 0.6569 0.1911  2 Os 2.69
Na 0.0000 0.0000 0.0000  6 Te 3.18-3.29
Te 0.9404 0.5538 0.8138  2 Os 2.68-2.70
K 0.1488 0.8512 0.5000  6 Te 3.38-3.61, 1 K 3.74
K 0.8512 0.1488 0.5000  6 Te 3.38-3.61, 1 K 3.74
Te 0.5538 0.9404 0.8138  2 Os 2.68-2.70
Os 0.6669 0.3331 0.0000  6 Te 2.68-2.70
Te 0.0596 0.4462 0.1862  2 Os 2.68-2.70
Te 0.3431 0.3431 0.8089  2 Os 2.69
Te 0.4462 0.0596 0.1862  2 Os 2.68-2.70
Na 0.5000 0.5000 0.5000  2 Te 3.07
Os 0.3331 0.6669 0.0000  6 Te 2.68-2.70

=====

DFT (GGA-PBE) results for ThNpGa after structural relaxation.

Density = 10.5 g cm⁻³
Raw total energy = -7.433 eV/atom
Total magnetization = 5.2 μB per cell

a b c (Å): 4.9319 4.9319 4.9319
angles (deg): 60.00 60.00 60.00
Last column: nearest neighbours and their distance in Å.
Atoms (fractional coordinates):
Ga 0.0000 0.0000 0.0000  4 Th 3.02, 4 Np 3.02
Th 0.7500 0.7500 0.7500  4 Ga 3.02
Np 0.2500 0.2500 0.2500  4 Ga 3.02

=====

DFT (GGA-PBE) results for K2La2TbMg3In after structural relaxation.

Density = 3.8 g cm⁻³
Raw total energy = -2.507 eV/atom
Total magnetization = 0.4 μB per cell

a b c (Å): 3.4657 9.4559 9.4559
angles (deg): 99.12 90.00 90.00
Last column: nearest neighbours and their distance in Å.
Atoms (fractional coordinates):
La 0.0000 0.9622 0.3835  2 La 3.47, 4 Mg 3.51-3.81, 1 In 3.67
Mg 0.5000 0.7459 0.0417  2 In 3.06, 2 Tb 3.33
Mg 0.5000 0.0417 0.7459  2 In 3.06, 2 Tb 3.33
In 0.0000 0.0039 0.0039  6 Mg 3.01-3.06, 1 Tb 3.24
Mg 0.5000 0.2047 0.2047  2 In 3.01
K 0.5000 0.3404 0.5783  3 K 3.42-3.47, 2 Mg 3.45-3.56
La 0.0000 0.3835 0.9622  2 La 3.47, 4 Mg 3.51-3.81, 1 In 3.67
Tb 0.0000 0.7395 0.7395  1 In 3.24, 4 Mg 3.33, 2 Tb 3.47
K 0.5000 0.5783 0.3404  3 K 3.42-3.47, 2 Mg 3.45-3.56